Below is a geometry-optimized Tl3CrF4 structure, with properties calculated at the GGA+U level.

Lattice parameters (Å, degrees): 7.978 6.451 6.910 90.00 90.00 90.00
Sites, in units of the cell vectors:
Tl 0.000 0.072 0.000
Tl 0.248 0.485 0.285
Tl 0.252 0.515 0.785
Tl 0.500 0.928 0.500
Tl 0.748 0.515 0.785
Tl 0.752 0.485 0.285
Cr 0.000 0.003 0.491
Cr 0.500 0.997 0.991
F 0.000 0.277 0.640
F 0.000 0.784 0.723
F 0.185 0.915 0.321
F 0.315 0.085 0.821
F 0.500 0.216 0.223
F 0.500 0.723 0.140
F 0.685 0.085 0.821
F 0.815 0.915 0.321

Output
As for the total energy: -70.82 eV per cell.